Density functional theory data (GGA-PBE) for a relaxed structure of CsPmO2.

**Space group**: R3m
**Uncorrected formation energy**: -2.51 eV/atom
**Total magnetic moment**: 0.000 μB per atom

POSCAR file:
```
CsPmO2
1.0
3.6645 0.0000 0.0000
-1.8322 3.1735 0.0000
0.0000 0.0000 21.0190
Cs Pm O
3 3 6
direct
0.0000 0.0000 0.0000
0.3333 0.6667 0.6667
0.6667 0.3333 0.3333
0.0000 0.0000 0.1700
0.3333 0.6667 0.8366
0.6667 0.3333 0.5033
0.0000 0.0000 0.5611
0.0000 0.0000 0.7823
0.3333 0.6667 0.2278
0.3333 0.6667 0.4490
0.6667 0.3333 0.1157
0.6667 0.3333 0.8945
```